TaHg2Ru | Alexandria via LeMat-Bulk | SCAN | PBEsol geometry; electronic total energy = -236.1 eV per cell
1.0
-2.044 2.044 4.105
2.044 -2.044 4.105
2.044 2.044 -4.105
Ta Hg Ru
1 2 1
direct
0.000 0.000 0.000
0.500 0.500 0.000
0.750 0.250 0.500
0.250 0.750 0.500

---

TaHgRu3 | Alexandria via LeMat-Bulk | SCAN | PBEsol geometry; electronic total energy = -231.9 eV per cell
1.0
4.664 0.000 0.000
0.000 4.664 0.000
0.000 0.000 4.664
Ta Hg Ru
1 1 3
direct
0.000 0.000 0.000
0.500 0.500 0.500
0.000 0.000 0.500
0.000 0.500 0.000
0.500 0.000 0.000

---

TaHg2Ru | Alexandria via LeMat-Bulk | SCAN | PBEsol geometry; electronic total energy = -237.4 eV per cell
1.0
3.019 0.000 0.000
0.000 3.019 0.000
0.000 0.000 7.976
Ta Hg Ru
1 2 1
direct
0.000 0.000 0.000
0.000 0.000 0.563
0.500 0.500 0.273
0.500 0.500 0.815

---

TaTi2HgRu | Alexandria via LeMat-Bulk | SCAN | PBEsol geometry; electronic total energy = -192.9 eV per cell
1.0
4.714 0.000 0.000
0.000 4.714 0.000
0.000 0.000 4.841
Ta Ti Hg Ru
1 2 1 1
direct
0.000 0.000 0.000
0.000 0.500 0.500
0.500 0.000 0.500
0.500 0.500 0.500
0.500 0.500 0.000

---

TcHg3Ru | Alexandria via LeMat-Bulk | SCAN | PBEsol geometry; electronic total energy = -267.8 eV per cell
1.0
5.047 0.000 0.000
0.000 5.047 0.000
0.000 0.000 5.047
Tc Hg Ru
1 3 1
direct
0.000 0.000 0.000
0.000 0.500 0.500
0.500 0.000 0.500
0.500 0.500 0.000
0.500 0.500 0.500

---

TcHgRu | Alexandria via LeMat-Bulk | SCAN | PBEsol geometry; electronic total energy = -135.3 eV per cell
1.0
0.000 3.012 3.012
3.012 0.000 3.012
3.012 3.012 0.000
Tc Hg Ru
1 1 1
direct
0.000 0.000 0.000
0.250 0.250 0.250
0.750 0.750 0.750

---

Q: Which formula does entry 5 have?
A: TcHg3Ru

---

Q: Which of these has the lowest electronic total energy?
A: TcHg3Ru

---

Q: What is the formula in the fifth record?
A: TcHg3Ru

---

Please write out number 5 again, unchanged.
TcHg3Ru | Alexandria via LeMat-Bulk | SCAN | PBEsol geometry; electronic total energy = -267.8 eV per cell
1.0
5.047 0.000 0.000
0.000 5.047 0.000
0.000 0.000 5.047
Tc Hg Ru
1 3 1
direct
0.000 0.000 0.000
0.000 0.500 0.500
0.500 0.000 0.500
0.500 0.500 0.000
0.500 0.500 0.500